No. 1
Na3YP after structural relaxation. Source: Alexandria, functional PBE-GGA.

Output
- Energy: -2.85 eV/atom
- Offset from the most stable computed form: 0.000 eV/f.u.
- Magnetization: 1.00 μB per formula unit
- Calculated density: 2.0 g/cm3
- SG: Pm-3m (221)

Lattice parameters (Å, degrees): 5.423 5.423 5.423 90.00 90.00 90.00
Element x y z (fractional)
Y1 0.500 0.500 0.500
P1 0.000 0.000 0.000
Na1 0.000 0.500 0.000
Na2 0.000 0.000 0.500
Na3 0.500 0.000 0.000


No. 2
ErPuBe after structural relaxation. Source: Alexandria, functional PBE-GGA.

Output
- Energy: -7.35 eV/atom
- Magnetization: 6.10 μB per formula unit
- Calculated density: 10.5 g/cm3
- SG: I4mm (107)

Lattice parameters (Å, degrees): 4.798 6.233 3.393 74.20 45.01 67.36
Element x y z (fractional)
Er1 0.029 0.942 0.000
Be1 0.665 0.671 0.000
Pu1 0.307 0.387 0.000


No. 3
TlCr2Pb after structural relaxation. Source: Alexandria, functional PBE-GGA.

Output
- Energy: -5.68 eV/atom
- Offset from the most stable computed form: 0.950 eV/f.u.
- Magnetization: 8.20 μB per formula unit
- Calculated density: 9.9 g/cm3
- SG: Fm-3m (225)

Lattice parameters (Å, degrees): 4.962 4.962 4.962 60.00 60.00 60.00
Element x y z (fractional)
Pb1 0.500 0.500 0.500
Cr1 0.250 0.250 0.250
Cr2 0.750 0.750 0.750
Tl1 0.000 0.000 0.000


No. 4
Pm2Y6Tm3In after structural relaxation. Source: Alexandria, functional PBE-GGA.

Output
- Energy: -5.42 eV/atom
- Magnetization: 0.00 μB per formula unit
- Calculated density: 6.5 g/cm3
- SG: C2/m (12)

Lattice parameters (Å, degrees): 6.102 6.102 11.704 94.99 94.99 120.03
Element x y z (fractional)
Pm1 0.334 0.666 0.000
Pm2 0.666 0.334 0.000
Y1 0.917 0.590 0.750
Y2 0.756 0.756 0.251
Y3 0.083 0.410 0.250
Y4 0.590 0.917 0.750
Y5 0.244 0.244 0.749
Y6 0.410 0.083 0.250
Tm1 0.166 0.834 0.500
Tm2 0.834 0.166 0.500
Tm3 0.500 0.500 0.500
In1 0.000 0.000 0.000


No. 5
Mg2P3Ru5 after structural relaxation. Source: Alexandria, functional PBE-GGA.

Output
- Energy: -7.08 eV/atom
- Magnetization: 0.00 μB per formula unit
- Calculated density: 7.6 g/cm3
- SG: Cmc2_1 (36)

Lattice parameters (Å, degrees): 3.909 6.120 11.918 90.00 99.44 90.00
Element x y z (fractional)
Mg1 0.479 0.758 0.957
Mg2 0.172 0.737 0.345
Mg3 0.828 0.237 0.655
Mg4 0.521 0.258 0.043
P1 0.773 0.726 0.546
P2 0.608 0.503 0.216
P3 0.044 0.974 0.089
P4 0.227 0.226 0.454
P5 0.956 0.474 0.911
P6 0.392 0.003 0.784
Ru1 0.406 0.392 0.812
Ru2 0.293 0.508 0.586
Ru3 0.707 0.008 0.414
Ru4 0.129 0.228 0.257
Ru5 0.295 0.948 0.591
Ru6 0.946 0.093 0.893
Ru7 0.705 0.448 0.409
Ru8 0.871 0.728 0.743
Ru9 0.054 0.593 0.107
Ru10 0.594 0.892 0.188


No. 6
PmThSn after structural relaxation. Source: Alexandria, functional PBE-GGA.

Output
- Energy: -4.84 eV/atom
- Offset from the most stable computed form: 3.141 eV/f.u.
- Magnetization: 0.00 μB per formula unit
- Calculated density: 7.1 g/cm3
- SG: Cmmm (65)

Lattice parameters (Å, degrees): 3.351 8.297 8.297 91.41 90.00 90.00
Element x y z (fractional)
Pm1 0.000 0.000 0.000
Pm2 0.500 0.500 0.500
Sn1 0.000 0.736 0.736
Sn2 0.000 0.264 0.264
Th1 0.500 0.235 0.765
Th2 0.500 0.765 0.235


No. 7
Hf2AlTc2 after structural relaxation. Source: Alexandria, functional PBE-GGA.

Output
- Energy: -9.12 eV/atom
- Offset from the most stable computed form: 0.000 eV/f.u.
- Magnetization: 0.00 μB per formula unit
- Calculated density: 10.6 g/cm3
- SG: P4/mbm (127)

Lattice parameters (Å, degrees): 6.623 6.623 4.140 90.00 90.00 90.00
Element x y z (fractional)
Hf1 0.179 0.679 0.500
Hf2 0.679 0.821 0.500
Hf3 0.821 0.321 0.500
Hf4 0.321 0.179 0.500
Tc1 0.366 0.866 0.000
Tc2 0.866 0.634 0.000
Tc3 0.634 0.134 0.000
Tc4 0.134 0.366 0.000
Al1 0.000 0.000 0.000
Al2 0.500 0.500 0.000


No. 8
NdTmCoOs after structural relaxation. Source: Alexandria, functional PBE-GGA.

Output
- Energy: -6.91 eV/atom
- Magnetization: 0.76 μB per formula unit
- Calculated density: 11.6 g/cm3
- SG: F-43m (216)

Lattice parameters (Å, degrees): 4.841 4.841 4.841 60.00 60.00 60.00
Element x y z (fractional)
Nd1 0.500 0.500 0.500
Tm1 0.000 0.000 0.000
Os1 0.250 0.250 0.250
Co1 0.750 0.750 0.750


No. 9
NaCoGe2 after structural relaxation. Source: Alexandria, functional PBE-GGA.

Output
- Energy: -4.47 eV/atom
- Offset from the most stable computed form: 0.212 eV/f.u.
- Magnetization: 0.83 μB per formula unit
- Calculated density: 4.9 g/cm3
- SG: R-3m (166)

Lattice parameters (Å, degrees): 3.953 3.953 6.179 71.35 71.35 59.98
Element x y z (fractional)
Na1 0.500 0.500 0.500
Co1 0.000 0.000 0.000
Ge1 0.711 0.711 0.866
Ge2 0.289 0.289 0.134


No. 10
YTaRe2 after structural relaxation. Source: Alexandria, functional PBE-GGA.

Output
- Energy: -10.77 eV/atom
- Magnetization: 0.00 μB per formula unit
- Calculated density: 14.4 g/cm3
- SG: P4/mmm (123)

Lattice parameters (Å, degrees): 3.261 3.262 6.946 90.00 90.00 90.00
Element x y z (fractional)
Re1 0.000 0.000 0.034
Re2 0.000 0.000 0.466
Ta1 0.500 0.500 0.250
Y1 0.500 0.500 0.750


No. 11
W2AuBr after structural relaxation. Source: Alexandria, functional PBE-GGA.

Output
- Energy: -6.60 eV/atom
- Offset from the most stable computed form: 2.262 eV/f.u.
- Magnetization: 0.00 μB per formula unit
- Calculated density: 15.2 g/cm3
- SG: Immm (71)
- E_form (uncorrected): 1.116 eV/atom

Lattice parameters (Å, degrees): 5.606 5.606 5.606 148.73 128.93 61.11
Element x y z (fractional)
Au1 0.250 0.750 0.500
Br1 0.750 0.250 0.500
W1 0.988 0.988 0.000
W2 0.512 0.512 0.000


No. 12
MgZr2TlN after structural relaxation. Source: Alexandria, functional PBE-GGA.

Output
- Energy: -6.49 eV/atom
- Magnetization: 0.00 μB per formula unit
- Calculated density: 7.8 g/cm3
- SG: P4/mmm (123)
- E_form (uncorrected): -0.609 eV/atom

Lattice parameters (Å, degrees): 4.532 4.532 4.407 90.00 90.00 90.00
Element x y z (fractional)
Tl1 0.500 0.500 0.500
Mg1 0.000 0.000 0.500
Zr1 0.000 0.500 0.000
Zr2 0.500 0.000 0.000
N1 0.000 0.000 0.000


No. 13
K2YHg after structural relaxation. Source: Alexandria, functional PBE-GGA.

Output
- Energy: -2.01 eV/atom
- Magnetization: 0.98 μB per formula unit
- Calculated density: 4.2 g/cm3
- SG: I4/mmm (139)

Lattice parameters (Å, degrees): 7.316 7.316 7.316 142.41 142.41 54.21
Element x y z (fractional)
Hg1 0.750 0.250 0.500
K1 0.000 0.000 0.000
K2 0.500 0.500 0.000
Y1 0.250 0.750 0.500